(1)
Computed, not measured: an optimized crystal structure of SrSmOs2O8 at the GGA-PBE level of DFT.

- E_form (uncorrected): -157.2 kJ per mole of atoms
- Size of the total moment: 3.01 μB/f.u.
- Uncorrected energy: -7.34 eV/atom

a b c (Å): 5.9620 5.9620 7.2785
angles (deg): 90.00 90.00 120.00
Closest atoms and distances in Å follow each position.
Space group P-3m1 (No. 164)
Unique sites:
1 Sr 0.0000 0.0000 0.0000  6 O 2.66
2 Sm 0.0000 0.0000 0.5000  6 O 2.32
3 Os 0.3333 0.6667 0.7983  4 O 1.79-1.85
4 O 0.1638 0.3276 0.7174  1 Os 1.85
5 O 0.3333 0.6667 0.0444  1 Os 1.79

=====

(2)
Computed, not measured: an optimized crystal structure of TbSmOsO6 at the GGA-PBE level of DFT.

- E_form (uncorrected): -226.2 kJ per mole of atoms
- Size of the total moment: 2.01 μB/f.u.
- Uncorrected energy: -7.94 eV/atom

a b c (Å): 5.5372 5.5372 9.7420
angles (deg): 90.00 90.00 120.00
Closest atoms and distances in Å follow each position.
Space group P-31c (No. 163)
Unique sites:
1 Tb 0.3333 0.6667 0.2500  6 O 2.27
2 Sm 0.0000 0.0000 0.0000  6 O 2.37
3 Os 0.3333 0.6667 0.7500  6 O 1.95
4 O 0.0449 0.3742 0.6370  1 Os 1.95